<A>
The following is a DFT calculation (PBE) of an optimized crystal structure of TcIr2Cl.

Calculated values
- V: 15.09 Å³ per atom

a b c (Å): 4.485 4.485 4.485
angles (deg): 123.23 123.23 84.49
Element x y z (fractional)
Cl: 0.750 0.250 0.500
Ir: 0.000 0.000 0.000
Ir: 0.250 0.750 0.500
Tc: 0.500 0.500 0.000



<B>
The following is a DFT calculation (PBE) of an optimized crystal structure of TcIr2Cl.

Calculated values
- V: 16.86 Å³ per atom

a b c (Å): 2.789 2.789 8.670
angles (deg): 90.00 90.00 90.00
Element x y z (fractional)
Cl: 0.500 0.500 0.676
Ir: 0.000 0.000 0.058
Ir: 0.500 0.500 0.278
Tc: 0.000 0.000 0.487



Which structure is the least stable? The one labeled <A>.



<A>
The following is a DFT calculation (PBE) of an optimized crystal structure of TcIr2Cl.

Calculated values
- V: 15.53 Å³ per atom

a b c (Å): 2.818 2.818 9.148
angles (deg): 90.00 90.00 121.27
Element x y z (fractional)
Cl: 0.500 0.500 0.750
Ir: 0.000 0.000 0.007
Ir: 0.000 0.000 0.493
Tc: 0.500 0.500 0.250



<B>
The following is a DFT calculation (PBE) of an optimized crystal structure of TcIr2Cl.

Calculated values
- V: 14.87 Å³ per atom

a b c (Å): 4.131 2.808 5.353
angles (deg): 73.34 90.00 90.00
Element x y z (fractional)
Cl: 0.500 0.750 0.750
Ir: 0.000 0.870 0.000
Ir: 0.000 0.630 0.500
Tc: 0.500 0.250 0.250



Which structure is the least stable? The one labeled <B>.